Here is an optimized crystal structure of UPd2Au6 from Alexandria via LeMat-Bulk. Energies are from PBE.

The uncorrected energy comes out at -4.75 eV/atom. The calculation puts the total magnetization at 2.4 μB per formula unit. The formation energy comes out at -1.37 eV per formula unit.

Geometry as POSCAR:
```
UPd2Au6
1.0
3.9655 0.0000 -1.1859
-0.6566 6.1874 -2.1958
-0.1288 0.1101 6.7925
U Au Pd
1 6 2
direct
0.5000 0.5000 0.0000
0.6091 0.1563 0.2183
0.2717 0.1588 0.5433
0.8285 0.4884 0.6570
0.7283 0.8412 0.4567
0.3909 0.8437 0.7817
0.1715 0.5116 0.3430
0.0482 0.8186 0.0964
0.9518 0.1814 0.9036
```

***

Here is an optimized crystal structure of La5Nd8Sc from Alexandria via LeMat-Bulk. Energies are from PBE.

The uncorrected energy comes out at -4.78 eV/atom. The calculation puts the total magnetization at 0.0 μB per formula unit. The formation energy comes out at 2.25 eV per formula unit.

Geometry as POSCAR:
```
La5Nd8Sc
1.0
-1.0982 -8.5794 -2.4827
6.9950 2.6429 5.1109
-5.2570 3.9013 6.1739
La Sc Nd
5 1 8
direct
0.6992 0.7651 0.7296
0.5037 0.0000 0.5037
0.9457 0.8334 0.2058
0.9646 0.2349 0.9342
0.3725 0.1666 0.1124
0.2764 0.5000 0.7764
0.8912 0.5692 0.5753
0.1199 0.6830 0.0375
0.3545 0.3170 0.4369
0.0060 0.4307 0.3220
0.5972 0.3769 0.8929
0.9941 0.0552 0.5642
0.5090 0.9448 0.9389
0.5159 0.6231 0.2203
```

***

Here is an optimized crystal structure of BaScAs2 from Alexandria via LeMat-Bulk. Energies are from PBE.

Its excess energy over the best structure of this formula in the dataset is 0.914 eV per atom. The uncorrected energy comes out at -4.51 eV/atom. The calculation puts the total magnetization at 0.0 μB per formula unit. The formation energy comes out at -0.47 eV per formula unit.

Geometry as POSCAR:
```
BaScAs2
1.0
-3.9085 -1.0414 -3.2167
-3.9439 -2.9363 1.5913
-4.6429 2.1231 0.8026
As Sc Ba
2 1 1
direct
0.0000 0.0000 0.0000
0.2500 0.2500 0.2500
0.7500 0.7500 0.7500
0.5000 0.5000 0.5000
```

***

Here is an optimized crystal structure of TbW4 from Alexandria via LeMat-Bulk. Energies are from PBE.

The uncorrected energy comes out at -8.01 eV/atom. The calculation puts the total magnetization at 0.0 μB per formula unit. The formation energy comes out at 16.37 eV per formula unit.

Geometry as POSCAR:
```
TbW4
1.0
-1.6412 1.8287 -4.0078
0.1364 -4.2537 -1.9968
-4.4032 -0.8134 1.4320
W Tb
4 1
direct
0.0000 0.0000 0.0000
0.5000 0.5000 0.0000
0.5000 0.0000 0.5000
0.0000 0.5000 0.5000
0.5000 0.5000 0.5000
```

***

Here is an optimized crystal structure of TbPaNi2P2 from Alexandria via LeMat-Bulk. Energies are from PBE.

The uncorrected energy comes out at -7.26 eV/atom. The calculation puts the total magnetization at 0.0 μB per formula unit. The formation energy comes out at -7.04 eV per formula unit.

Geometry as POSCAR:
```
TbPaNi2P2
1.0
3.8979 0.0000 0.0000
-1.9489 3.3757 0.0000
0.0000 0.0000 7.7571
P Tb Pa Ni
2 1 1 2
direct
0.3333 0.6667 0.2556
0.6667 0.3333 0.7444
0.0000 0.0000 0.5000
0.0000 0.0000 0.0000
0.6667 0.3333 0.2261
0.3333 0.6667 0.7739
```